The following is a DFT calculation (PBE-GGA) of a geometry-optimized Al4CoHg structure.

Results
Total DFT energy (no corrections): -3.40 eV/atom
ΔE_f: 0.33 eV/atom
Symmetry: F-43m, No. 216

a = 5.232 Å, b = 5.232 Å, c = 5.232 Å
α = 60.00°, β = 60.00°, γ = 60.00°
Site moments in Bohr magnetons follow the coordinates.
Sites, in units of the cell vectors:
Al1 0.376 0.872 0.376  0.01
Al2 0.376 0.376 0.872  0.01
Al3 0.376 0.376 0.376  0.01
Hg1 0.000 0.000 0.000  -0.01
Al4 0.872 0.376 0.376  0.01
Co1 0.750 0.750 0.750  1.29